(1)
Density functional theory data (GGA-PBE) for a relaxed TbY3Sb3 crystal.

Its energy above the most stable polymorph in this dataset is 0.000 eV/atom.

a b c (Å): 9.2186 9.2186 9.2186
angles (deg): 90.00 90.00 90.00
Fractional coordinates of all 28 atoms:
Tb  0.0717  0.5717  0.9283
Tb  0.9283  0.0717  0.5717
Tb  0.4283  0.4283  0.4283
Tb  0.5717  0.9283  0.0717
Y  0.8216  0.3216  0.1784
Y  0.9277  0.9277  0.9277
Y  0.8219  0.6781  0.3219
Y  0.1784  0.8216  0.3216
Y  0.1781  0.1781  0.1781
Y  0.3219  0.8219  0.6781
Y  0.0723  0.4277  0.5723
Y  0.3216  0.1784  0.8216
Y  0.6781  0.3219  0.8219
Y  0.6784  0.6784  0.6784
Y  0.5723  0.0723  0.4277
Y  0.4277  0.5723  0.0723
Sb  0.7496  0.6247  0.0001
Sb  0.8753  0.9999  0.2496
Sb  0.0001  0.7496  0.6247
Sb  0.1247  0.4999  0.2504
Sb  0.2504  0.1247  0.4999
Sb  0.2496  0.8753  0.9999
Sb  0.9999  0.2496  0.8753
Sb  0.3753  0.5001  0.7504
Sb  0.4999  0.2504  0.1247
Sb  0.6247  0.0001  0.7496
Sb  0.7504  0.3753  0.5001
Sb  0.5001  0.7504  0.3753

(2)
Density functional theory data (GGA-PBE) for a relaxed TbY5Sb4 crystal.

a b c (Å): 4.3153 8.4299 9.5822
angles (deg): 105.23 103.01 90.00
Fractional coordinates of all 10 atoms:
Tb  0.5000  0.0000  0.0000
Y  0.8235  0.6487  0.6470
Y  0.8369  0.1732  0.6738
Y  0.1631  0.8268  0.3262
Y  0.5000  0.5000  0.0000
Y  0.1765  0.3513  0.3530
Sb  0.3301  0.9096  0.6601
Sb  0.9929  0.7423  0.9858
Sb  0.6699  0.0904  0.3399
Sb  0.0071  0.2577  0.0142

no.,E_form (uncorrected) (meV/atom),magnetization (Bohr magnetons per cell)
1,-1025,0.0
2,-772,0.0